DFT (PBE-GGA) results for a geometry-optimized YTiBiS2 structure.

ΔE_f (raw), eV/atom: -0.383
Uncorrected energy, eV/atom: -5.682

Lattice parameters (Å, degrees): 4.6393 4.6393 6.1482 90.00 90.00 90.00
Element x y z (fractional)
Y 0.0000 0.0000 0.0000
Ti 0.0000 0.0000 0.5000
Bi 0.5000 0.5000 0.0000
S 0.0000 0.5000 0.5000
S 0.5000 0.0000 0.5000